No. 1
## Al2Cd3 (PBE)

Data for a relaxed Al2Cd3 crystal.

The structure in POSCAR format:
```
Al2Cd3
1.0
-1.8296 -12.6305 -2.6888
-0.9957 -13.0031 0.1904
-3.8858 -12.4408 -0.4842
Al Cd
2 3
direct
0.3982 0.3982 0.3982 Al
0.6018 0.6018 0.6018 Al
0.0000 0.0000 0.0000 Cd
0.7963 0.7963 0.7963 Cd
0.2037 0.2037 0.2037 Cd
```

Computed properties:
E above lowest polymorph: 0 meV/atom
E_form: 0.072 eV per atom
uncorrected energy: -1.974 eV/atom
space group: R-3m
DOS(E_F): 0.768 states/eV/f.u.

No. 2
## Al4Cd5 (PBE)

Data for a relaxed Al4Cd5 crystal.

The structure in POSCAR format:
```
Al4Cd5
1.0
8.9540 0.0000 0.0000
-4.4770 7.7544 0.0000
0.0000 0.0000 5.5285
Al Cd
8 10
direct
0.0000 0.0000 0.0000 Al
0.0000 0.0000 0.5000 Al
0.0000 0.2752 0.2500 Al
0.7248 0.7248 0.2500 Al
0.2752 0.0000 0.2500 Al
0.0000 0.7248 0.7500 Al
0.2752 0.2752 0.7500 Al
0.7248 0.0000 0.7500 Al
0.0000 0.6166 0.2500 Cd
0.3834 0.3834 0.2500 Cd
0.6166 0.0000 0.2500 Cd
0.0000 0.3834 0.7500 Cd
0.6166 0.6166 0.7500 Cd
0.3834 0.0000 0.7500 Cd
0.6667 0.3333 0.0000 Cd
0.3333 0.6667 0.5000 Cd
0.3333 0.6667 0.0000 Cd
0.6667 0.3333 0.5000 Cd
```

Computed properties:
E above lowest polymorph: 82 meV/atom
E_form: 0.201 eV per atom
uncorrected energy: -1.971 eV/atom
space group: P6_3/mcm
DOS(E_F): 4.679 states/eV/f.u.

No. 3
## AlCd (PBE)

Data for a relaxed AlCd crystal.

The structure in POSCAR format:
```
AlCd
1.0
5.4275 0.1787 0.0277
4.5680 2.9366 0.0277
1.1715 0.3651 5.3292
Al Cd
2 2
direct
0.0071 0.0071 0.0682 Al
0.7429 0.7429 0.8484 Al
0.4951 0.4951 0.5851 Cd
0.2549 0.2549 0.3316 Cd
```

Computed properties:
E_form: 0.132 eV per atom
uncorrected energy: -2.197 eV/atom
space group: C2/m
DOS(E_F): 0.560 states/eV/f.u.

No. 4
## Al3Cd2 (PBE)

Data for a relaxed Al3Cd2 crystal.

The structure in POSCAR format:
```
Al3Cd2
1.0
-1.9662 1.8970 -3.4516
-1.5208 -3.8192 1.5744
-3.9640 3.2444 4.0413
Al Cd
3 2
direct
0.0000 0.0000 0.0000 Al
0.6667 0.3333 0.6177 Al
0.3333 0.6667 0.3823 Al
0.6667 0.3333 0.1876 Cd
0.3333 0.6667 0.8124 Cd
```

Computed properties:
E above lowest polymorph: 198 meV/atom
E_form: 0.293 eV per atom
uncorrected energy: -2.319 eV/atom
space group: P-3m1
DOS(E_F): 1.754 states/eV/f.u.

Q: Among the records above, which one has the highest E_form?
A: Al3Cd2